#P
Material: HRu2Cl
Method: DFT, PBE
State: relaxed

The calculated density is 7.75 g cm⁻³. The value obtained for the magnetization is 0.0 μB per formula unit.

The structure belongs to space group I-42d (No. 122); the cell edges are 4.7849, 4.7849 and 8.9324 Å and the angles 90.00°, 90.00° and 90.00°. The distinct sites, in fractional coordinates, are H at (0.0000, 0.0000, 0.0000), Ru at (0.1429, 0.2500, 0.1250) and Cl at (0.0000, 0.0000, 0.5000).

---

#Q
Material: HRu2Cl
Method: DFT, PBE
State: relaxed

The calculated density is 8.54 g cm⁻³. The value obtained for the magnetization is 0.0 μB per formula unit.

The structure belongs to space group Fm-3m (No. 225); the cell edges are 5.7029, 5.7029 and 5.7029 Å and the angles 90.00°, 90.00° and 90.00°. The distinct sites, in fractional coordinates, are H at (0.0000, 0.0000, 0.0000), Ru at (0.2500, 0.2500, 0.2500) and Cl at (0.0000, 0.0000, 0.5000).

---

Energies, relative to the best one, in meV/atom: #P 0; #Q 592.